(1)
Density functional theory data (PBE-GGA) for a geometry-optimized Li2CdPd2Au2 structure.

raw total energy = -3.5060 eV/atom
DFT formation energy = -2.86 eV/f.u.
calculated density = 10.7 g cm⁻³
SG = No. 12

a b c (Å): 4.894 4.894 6.377
angles (deg): 96.92 96.92 48.95
Sites, in units of the cell vectors:
Li 0.142 0.142 0.434
Li 0.858 0.858 0.566
Cd 0.000 0.000 0.000
Pd 0.290 0.290 0.856
Pd 0.710 0.710 0.144
Au 0.420 0.420 0.299
Au 0.580 0.580 0.701

=====

(2)
Density functional theory data (PBE-GGA) for a geometry-optimized Al3CdGe structure.

raw total energy = -2.7751 eV/atom
DFT formation energy = 2.88 eV/f.u.
calculated density = 3.6 g cm⁻³
SG = No. 221
relative energy among the computed polymorphs = 0.00 kJ per mole of atoms

a b c (Å): 4.947 4.947 4.947
angles (deg): 90.00 90.00 90.00
Sites, in units of the cell vectors:
Al 0.000 0.000 0.500
Al 0.000 0.500 0.000
Al 0.500 0.000 0.000
Cd 0.500 0.500 0.500
Ge 0.000 0.000 0.000

=====

(3)
Density functional theory data (PBE-GGA) for a geometry-optimized TcGeSe2 structure.

raw total energy = -5.2633 eV/atom
calculated density = 5.4 g cm⁻³
SG = No. 122

a b c (Å): 6.928 6.928 6.928
angles (deg): 127.84 127.84 76.88
Sites, in units of the cell vectors:
Tc 0.000 0.000 0.000
Tc 0.750 0.250 0.500
Ge 0.250 0.750 0.500
Ge 0.500 0.500 0.000
Se 0.083 0.625 0.958
Se 0.375 0.333 0.458
Se 0.667 0.125 0.042
Se 0.875 0.917 0.542

=====

(4)
Density functional theory data (PBE-GGA) for a geometry-optimized K4Ac3CeTe8 structure.

raw total energy = -4.4398 eV/atom
calculated density = 5.0 g cm⁻³
SG = No. 166

a b c (Å): 9.947 9.947 9.947
angles (deg): 57.84 57.84 57.84
Sites, in units of the cell vectors:
K 0.000 0.000 0.000
K 0.000 0.500 0.500
K 0.500 0.000 0.500
K 0.500 0.500 0.000
Ac 0.000 0.000 0.500
Ac 0.000 0.500 0.000
Ac 0.500 0.000 0.000
Ce 0.500 0.500 0.500
Te 0.242 0.242 0.242
Te 0.248 0.735 0.735
Te 0.265 0.265 0.752
Te 0.265 0.752 0.265
Te 0.735 0.248 0.735
Te 0.735 0.735 0.248
Te 0.752 0.265 0.265
Te 0.758 0.758 0.758

=====

(5)
Density functional theory data (PBE-GGA) for a geometry-optimized LiSn2Rh structure.

raw total energy = -4.4610 eV/atom
DFT formation energy = -0.57 eV/f.u.
calculated density = 6.1 g cm⁻³
SG = No. 122

a b c (Å): 6.607 6.607 6.607
angles (deg): 98.57 98.57 134.58
Sites, in units of the cell vectors:
Li 0.000 0.000 0.000
Li 0.750 0.250 0.500
Sn 0.222 0.625 0.097
Sn 0.375 0.472 0.597
Sn 0.528 0.125 0.903
Sn 0.875 0.778 0.403
Rh 0.250 0.750 0.500
Rh 0.500 0.500 0.000

=====

(6)
Density functional theory data (PBE-GGA) for a geometry-optimized NaLi2AlTc structure.

raw total energy = -2.8559 eV/atom
DFT formation energy = 4.98 eV/f.u.
calculated density = 3.4 g cm⁻³
SG = No. 123

a b c (Å): 4.009 4.009 4.991
angles (deg): 90.00 90.00 90.00
Sites, in units of the cell vectors:
Na 0.000 0.000 0.000
Li 0.000 0.500 0.000
Li 0.500 0.000 0.000
Al 0.000 0.000 0.500
Tc 0.500 0.500 0.500